Entry from Alexandria via LeMat-Bulk: crystalline Sm2Dy3Tm5 at its relaxed geometry (PBE).

POSCAR file:
```
Sm2Dy3Tm5
1.0
-8.473 3.512 -2.084
-5.790 -6.615 -3.235
4.722 0.081 9.978
Dy Sm Tm
6 4 10
Direct
0.228 0.978 0.956 Dy
0.964 0.229 0.742 Dy
0.278 0.514 0.742 Dy
0.036 0.771 0.258 Dy
0.772 0.022 0.044 Dy
0.722 0.486 0.258 Dy
0.232 0.969 0.249 Sm
0.483 0.720 0.751 Sm
0.768 0.031 0.751 Sm
0.517 0.280 0.249 Sm
0.731 0.481 0.963 Tm
0.522 0.272 0.545 Tm
0.027 0.777 0.554 Tm
0.116 0.371 0.264 Tm
0.973 0.223 0.446 Tm
0.352 0.107 0.736 Tm
0.884 0.629 0.736 Tm
0.269 0.519 0.037 Tm
0.478 0.728 0.455 Tm
0.648 0.893 0.264 Tm
```

Results
- DFT formation energy: 191 kJ/mol of formula units
- VASP energy: -4.3624 eV/atom
- Relative energy among the computed polymorphs: 0 meV/atom